(a)
Material: HoTh2Hg
Method: DFT, PBE-GGA
State: relaxed

```
data_HoTh2Hg
_cell_length_a 3.4012
_cell_length_b 3.4012
_cell_length_c 12.3126
_cell_angle_alpha 82.06
_cell_angle_beta 82.06
_cell_angle_gamma 60.00
_symmetry_space_group_name_H-M 'P 1'
_symmetry_Int_Tables_number 1
_symmetry_space_group_name_Hall 'P 1'
loop_
_atom_site_label
_atom_site_type_symbol
_atom_site_fract_x
_atom_site_fract_y
_atom_site_fract_z
_atom_site_occupancy
Hg1 Hg 0.5000 0.5000 0.5000 1
Th1 Th 0.0918 0.0918 0.7247 1
Th2 Th 0.9082 0.9082 0.2753 1
Ho1 Ho 0.0000 0.0000 0.0000 1
```

## Properties
**ρ**: 11.3 g cm⁻³

(b)
Material: HoTh2Hg
Method: DFT, PBE-GGA
State: relaxed

```
data_HoTh2Hg
_cell_length_a 5.0302
_cell_length_b 4.7938
_cell_length_c 4.7938
_cell_angle_alpha 90.00
_cell_angle_beta 90.00
_cell_angle_gamma 90.00
_symmetry_space_group_name_H-M 'P 1'
_symmetry_Int_Tables_number 1
_symmetry_space_group_name_Hall 'P 1'
loop_
_atom_site_label
_atom_site_type_symbol
_atom_site_fract_x
_atom_site_fract_y
_atom_site_fract_z
_atom_site_occupancy
Hg1 Hg 0.5000 0.5000 0.5000 1
Th1 Th 0.0000 0.0000 0.5000 1
Th2 Th 0.0000 0.5000 0.0000 1
Ho1 Ho 0.5000 0.0000 0.0000 1
```

## Properties
**ρ**: 11.9 g cm⁻³

(c)
Material: HoTh2Hg
Method: DFT, PBE-GGA
State: relaxed

```
data_HoTh2Hg
_cell_length_a 3.5156
_cell_length_b 3.5156
_cell_length_c 9.7780
_cell_angle_alpha 90.00
_cell_angle_beta 90.00
_cell_angle_gamma 90.00
_symmetry_space_group_name_H-M 'P 1'
_symmetry_Int_Tables_number 1
_symmetry_space_group_name_Hall 'P 1'
loop_
_atom_site_label
_atom_site_type_symbol
_atom_site_fract_x
_atom_site_fract_y
_atom_site_fract_z
_atom_site_occupancy
Hg1 Hg 0.5000 0.5000 0.0000 1
Th1 Th 0.0000 0.0000 0.7668 1
Th2 Th 0.0000 0.0000 0.2332 1
Ho1 Ho 0.5000 0.5000 0.5000 1
```

## Properties
**ρ**: 11.4 g cm⁻³

Relative energies, in meV/atom, with the most stable structure set to zero: (a) 234; (b) 0; (c) 34.

(a)
Material: HoThHg3
Method: DFT, PBE-GGA
State: relaxed

```
data_HoThHg3
_cell_length_a 3.5311
_cell_length_b 4.9636
_cell_length_c 14.8089
_cell_angle_alpha 90.00
_cell_angle_beta 96.85
_cell_angle_gamma 90.00
_symmetry_space_group_name_H-M 'P 1'
_symmetry_Int_Tables_number 1
_symmetry_space_group_name_Hall 'P 1'
loop_
_atom_site_label
_atom_site_type_symbol
_atom_site_fract_x
_atom_site_fract_y
_atom_site_fract_z
_atom_site_occupancy
Ho1 Ho 0.2118 0.7500 0.4235 1
Ho2 Ho 0.7882 0.2500 0.5765 1
Th1 Th 0.9238 0.7500 0.8477 1
Th2 Th 0.0762 0.2500 0.1523 1
Hg1 Hg 0.6238 0.7500 0.2476 1
Hg2 Hg 0.3762 0.2500 0.7524 1
Hg3 Hg 0.5245 0.7500 0.0491 1
Hg4 Hg 0.4755 0.2500 0.9509 1
Hg5 Hg 0.6824 0.2500 0.3649 1
Hg6 Hg 0.3176 0.7500 0.6351 1
```

## Properties
**ρ**: 12.9 g cm⁻³

(b)
Material: HoThHg3
Method: DFT, PBE-GGA
State: relaxed

```
data_HoThHg3
_cell_length_a 5.3883
_cell_length_b 6.3753
_cell_length_c 8.9610
_cell_angle_alpha 110.84
_cell_angle_beta 107.50
_cell_angle_gamma 90.00
_symmetry_space_group_name_H-M 'P 1'
_symmetry_Int_Tables_number 1
_symmetry_space_group_name_Hall 'P 1'
loop_
_atom_site_label
_atom_site_type_symbol
_atom_site_fract_x
_atom_site_fract_y
_atom_site_fract_z
_atom_site_occupancy
Ho1 Ho 0.3955 0.1454 0.2907 1
Ho2 Ho 0.6045 0.8546 0.7093 1
Th1 Th 0.1906 0.4404 0.8808 1
Th2 Th 0.8094 0.5596 0.1192 1
Hg1 Hg 0.7964 0.0463 0.0925 1
Hg2 Hg 0.2036 0.9537 0.9075 1
Hg3 Hg 0.4065 0.6566 0.3132 1
Hg4 Hg 0.5935 0.3434 0.6868 1
Hg5 Hg 0.0092 0.7594 0.5187 1
Hg6 Hg 0.9908 0.2406 0.4813 1
```

## Properties
**ρ**: 12.2 g cm⁻³

Relative energies, in meV/atom, with the most stable structure set to zero: (a) 0; (b) 160.

(a)
Material: Ho4Tl5Hg
Method: DFT, PBE-GGA
State: relaxed

```
data_Ho4Tl5Hg
_cell_length_a 7.5091
_cell_length_b 10.0267
_cell_length_c 7.9356
_cell_angle_alpha 90.00
_cell_angle_beta 90.00
_cell_angle_gamma 90.00
_symmetry_space_group_name_H-M 'P 1'
_symmetry_Int_Tables_number 1
_symmetry_space_group_name_Hall 'P 1'
loop_
_atom_site_label
_atom_site_type_symbol
_atom_site_fract_x
_atom_site_fract_y
_atom_site_fract_z
_atom_site_occupancy
Ho1 Ho 0.7905 0.0000 0.7499 1
Ho2 Ho 0.5311 0.6891 0.0000 1
Ho3 Ho 0.5311 0.3109 0.0000 1
Ho4 Ho 0.7905 0.0000 0.2501 1
Ho5 Ho 0.2095 0.5000 0.2499 1
Ho6 Ho 0.4689 0.8109 0.5000 1
Ho7 Ho 0.4689 0.1891 0.5000 1
Ho8 Ho 0.2095 0.5000 0.7501 1
Tl1 Tl 0.1867 0.8138 0.8078 1
Tl2 Tl 0.1867 0.1862 0.8078 1
Tl3 Tl 0.8997 0.5000 0.0000 1
Tl4 Tl 0.1867 0.8138 0.1922 1
Tl5 Tl 0.1867 0.1862 0.1922 1
Tl6 Tl 0.8133 0.6862 0.3078 1
Tl7 Tl 0.8133 0.3138 0.3078 1
Tl8 Tl 0.1003 0.0000 0.5000 1
Tl9 Tl 0.8133 0.3138 0.6922 1
Tl10 Tl 0.8133 0.6862 0.6922 1
Hg1 Hg 0.4871 0.0000 0.0000 1
Hg2 Hg 0.5129 0.5000 0.5000 1
```

## Properties
**ρ**: 10.5 g cm⁻³

(b)
Material: Ho4Tl5Hg
Method: DFT, PBE-GGA
State: relaxed

```
data_Ho4Tl5Hg
_cell_length_a 5.0258
_cell_length_b 6.4835
_cell_length_c 9.3551
_cell_angle_alpha 112.95
_cell_angle_beta 105.58
_cell_angle_gamma 90.00
_symmetry_space_group_name_H-M 'P 1'
_symmetry_Int_Tables_number 1
_symmetry_space_group_name_Hall 'P 1'
loop_
_atom_site_label
_atom_site_type_symbol
_atom_site_fract_x
_atom_site_fract_y
_atom_site_fract_z
_atom_site_occupancy
Ho1 Ho 0.6976 0.2779 0.3951 1
Ho2 Ho 0.0854 0.8337 0.1708 1
Ho3 Ho 0.3024 0.7221 0.6049 1
Ho4 Ho 0.9146 0.1663 0.8292 1
Tl1 Tl 0.2957 0.2047 0.5913 1
Tl2 Tl 0.1072 0.3653 0.2145 1
Tl3 Tl 0.8928 0.6347 0.7855 1
Tl4 Tl 0.5000 0.5000 0.0000 1
Tl5 Tl 0.7043 0.7953 0.4087 1
Hg1 Hg 0.5000 0.0000 0.0000 1
```

## Properties
**ρ**: 11.6 g cm⁻³

Relative energies, in meV/atom, with the most stable structure set to zero: (a) 253; (b) 0.

(a)
Material: HoTlHg6
Method: DFT, PBE-GGA
State: relaxed

```
data_HoTlHg6
_cell_length_a 6.4548
_cell_length_b 6.4548
_cell_length_c 8.4469
_cell_angle_alpha 67.54
_cell_angle_beta 67.54
_cell_angle_gamma 60.00
_symmetry_space_group_name_H-M 'P 1'
_symmetry_Int_Tables_number 1
_symmetry_space_group_name_Hall 'P 1'
loop_
_atom_site_label
_atom_site_type_symbol
_atom_site_fract_x
_atom_site_fract_y
_atom_site_fract_z
_atom_site_occupancy
Ho1 Ho 0.0000 0.0000 0.0000 1
Tl1 Tl 0.5000 0.5000 0.5000 1
Hg1 Hg 0.0746 0.0746 0.3000 1
Hg2 Hg 0.0746 0.5507 0.3000 1
Hg3 Hg 0.4493 0.9254 0.7000 1
Hg4 Hg 0.9254 0.4493 0.7000 1
Hg5 Hg 0.9254 0.9254 0.7000 1
Hg6 Hg 0.5507 0.0746 0.3000 1
```

## Properties
**ρ**: 9.5 g cm⁻³

(b)
Material: HoTlHg6
Method: DFT, PBE-GGA
State: relaxed

```
data_HoTlHg6
_cell_length_a 4.6787
_cell_length_b 4.6787
_cell_length_c 9.3125
_cell_angle_alpha 90.00
_cell_angle_beta 90.00
_cell_angle_gamma 90.00
_symmetry_space_group_name_H-M 'P 1'
_symmetry_Int_Tables_number 1
_symmetry_space_group_name_Hall 'P 1'
loop_
_atom_site_label
_atom_site_type_symbol
_atom_site_fract_x
_atom_site_fract_y
_atom_site_fract_z
_atom_site_occupancy
Ho1 Ho 0.0000 0.0000 0.5000 1
Tl1 Tl 0.0000 0.0000 0.0000 1
Hg1 Hg 0.5000 0.5000 0.0000 1
Hg2 Hg 0.5000 0.5000 0.5000 1
Hg3 Hg 0.5000 0.0000 0.2599 1
Hg4 Hg 0.5000 0.0000 0.7401 1
Hg5 Hg 0.0000 0.5000 0.2599 1
Hg6 Hg 0.0000 0.5000 0.7401 1
```

## Properties
**ρ**: 12.8 g cm⁻³

Relative energies, in meV/atom, with the most stable structure set to zero: (a) 203; (b) 0.

(a)
Material: Ho4Tl3Hg
Method: DFT, PBE-GGA
State: relaxed

```
data_Ho4Tl3Hg
_cell_length_a 3.7610
_cell_length_b 3.7610
_cell_length_c 15.0934
_cell_angle_alpha 90.00
_cell_angle_beta 90.00
_cell_angle_gamma 90.00
_symmetry_space_group_name_H-M 'P 1'
_symmetry_Int_Tables_number 1
_symmetry_space_group_name_Hall 'P 1'
loop_
_atom_site_label
_atom_site_type_symbol
_atom_site_fract_x
_atom_site_fract_y
_atom_site_fract_z
_atom_site_occupancy
Tl1 Tl 0.5000 0.5000 0.2456 1
Tl2 Tl 0.5000 0.5000 0.5000 1
Tl3 Tl 0.5000 0.5000 0.7544 1
Ho1 Ho 0.0000 0.0000 0.8817 1
Ho2 Ho 0.0000 0.0000 0.1183 1
Ho3 Ho 0.0000 0.0000 0.3725 1
Ho4 Ho 0.0000 0.0000 0.6275 1
Hg1 Hg 0.5000 0.5000 0.0000 1
```

## Properties
**ρ**: 11.5 g cm⁻³

(b)
Material: Ho4Tl3Hg
Method: DFT, PBE-GGA
State: relaxed

```
data_Ho4Tl3Hg
_cell_length_a 4.3086
_cell_length_b 4.5053
_cell_length_c 11.5097
_cell_angle_alpha 90.00
_cell_angle_beta 90.00
_cell_angle_gamma 90.00
_symmetry_space_group_name_H-M 'P 1'
_symmetry_Int_Tables_number 1
_symmetry_space_group_name_Hall 'P 1'
loop_
_atom_site_label
_atom_site_type_symbol
_atom_site_fract_x
_atom_site_fract_y
_atom_site_fract_z
_atom_site_occupancy
Ho1 Ho 0.5000 0.5000 0.3588 1
Ho2 Ho 0.0000 0.5000 0.8658 1
Ho3 Ho 0.0000 0.0000 0.1353 1
Ho4 Ho 0.5000 0.0000 0.6378 1
Tl1 Tl 0.0000 0.5000 0.5921 1
Tl2 Tl 0.0000 0.0000 0.4080 1
Tl3 Tl 0.5000 0.0000 0.9089 1
Hg1 Hg 0.5000 0.5000 0.0934 1
```

## Properties
**ρ**: 11.0 g cm⁻³

Relative energies, in meV/atom, with the most stable structure set to zero: (a) 0; (b) 45.